Entry from the Alexandria database: crystalline FeAg2Sn3S8 at its relaxed geometry (PBE).

CIF file:
```
data_FeAg2Sn3S8
_cell_length_a 7.5716
_cell_length_b 7.5716
_cell_length_c 18.1341
_cell_angle_alpha 90.00
_cell_angle_beta 90.00
_cell_angle_gamma 120.00
_space_group_name_H-M_alt 'R -3 m'
_space_group_IT_number 166
_space_group_name_Hall '-R 3 2"'
loop_
_atom_site_label
_atom_site_type_symbol
_atom_site_fract_x
_atom_site_fract_y
_atom_site_fract_z
_atom_site_occupancy
Fe1 Fe 0.0000 0.0000 0.0000 1
Ag1 Ag 0.0000 0.0000 0.3865 1
Sn1 Sn 0.0000 0.5000 0.5000 1
S1 S 0.0000 0.0000 0.2466 1
S2 S 0.0486 0.5243 0.7438 1
```

magnetization	0.005	μB per atom
formation energy (no corrections)	-353	meV per atom
total DFT energy (no corrections)	-4.581	eV per atom

Entry from the Alexandria database: crystalline Mg2AlTl at its relaxed geometry (PBE).

CIF file:
```
data_Mg2AlTl
_cell_length_a 4.5023
_cell_length_b 4.5023
_cell_length_c 8.6767
_cell_angle_alpha 90.00
_cell_angle_beta 90.00
_cell_angle_gamma 90.00
_space_group_name_H-M_alt 'I 4/m m m'
_space_group_IT_number 139
_space_group_name_Hall '-I 4 2'
loop_
_atom_site_label
_atom_site_type_symbol
_atom_site_fract_x
_atom_site_fract_y
_atom_site_fract_z
_atom_site_occupancy
Mg1 Mg 0.0000 0.5000 0.2500 1
Al1 Al 0.0000 0.0000 0.0000 1
Tl1 Tl 0.0000 0.0000 0.5000 1
```

magnetization	0.000	μB per atom
total DFT energy (no corrections)	-2.278	eV per atom

Entry from the Alexandria database: crystalline TeSe3Cl at its relaxed geometry (PBE).

CIF file:
```
data_TeSe3Cl
_cell_length_a 5.0161
_cell_length_b 5.0161
_cell_length_c 5.0161
_cell_angle_alpha 90.00
_cell_angle_beta 90.00
_cell_angle_gamma 90.00
_space_group_name_H-M_alt 'P m -3 m'
_space_group_IT_number 221
_space_group_name_Hall '-P 4 2 3'
loop_
_atom_site_label
_atom_site_type_symbol
_atom_site_fract_x
_atom_site_fract_y
_atom_site_fract_z
_atom_site_occupancy
Te1 Te 0.0000 0.0000 0.0000 1
Se1 Se 0.0000 0.5000 0.5000 1
Cl1 Cl 0.5000 0.5000 0.5000 1
```

relative energy among the computed polymorphs	217	meV/atom
magnetization	0.000	μB per atom
formation energy (no corrections)	871	meV per atom
total DFT energy (no corrections)	-2.218	eV per atom

Entry from the Alexandria database: crystalline LiOsRh at its relaxed geometry (PBE).

CIF file:
```
data_LiOsRh
_cell_length_a 2.7356
_cell_length_b 4.5514
_cell_length_c 13.6979
_cell_angle_alpha 90.00
_cell_angle_beta 90.00
_cell_angle_gamma 90.00
_space_group_name_H-M_alt 'F m m 2'
_space_group_IT_number 42
_space_group_name_Hall 'F 2 -2'
loop_
_atom_site_label
_atom_site_type_symbol
_atom_site_fract_x
_atom_site_fract_y
_atom_site_fract_z
_atom_site_occupancy
Li1 Li 0.0000 0.0000 0.0000 1
Os1 Os 0.0000 0.0000 0.6696 1
Rh1 Rh 0.0000 0.0000 0.3363 1
```

relative energy among the computed polymorphs	275	meV/atom
magnetization	0.000	μB per atom
total DFT energy (no corrections)	-6.567	eV per atom

Entry from the Alexandria database: crystalline HgSbSeBr at its relaxed geometry (PBE).

CIF file:
```
data_HgSbSeBr
_cell_length_a 5.8434
_cell_length_b 5.6636
_cell_length_c 8.1271
_cell_angle_alpha 90.00
_cell_angle_beta 106.90
_cell_angle_gamma 90.00
_space_group_name_H-M_alt 'C 1 m 1'
_space_group_IT_number 8
loop_
_space_group_symop_operation_xyz
'x,y,z'
'x,-y,z'
'x+1/2,y+1/2,z'
'x+1/2,-y+1/2,z'
loop_
_atom_site_label
_atom_site_type_symbol
_atom_site_fract_x
_atom_site_fract_y
_atom_site_fract_z
_atom_site_occupancy
Hg1 Hg 0.0000 0.0000 0.0000 1
Sb1 Sb 0.4598 0.5000 0.6517 1
Se1 Se 0.3877 0.0000 0.6052 1
Br1 Br 0.1972 0.5000 0.1940 1
```

magnetization	0.000	μB per atom
formation energy (no corrections)	-229	meV per atom
total DFT energy (no corrections)	-2.625	eV per atom

Entry from the Alexandria database: crystalline LaSm2ErSe6 at its relaxed geometry (PBE).

CIF file:
```
data_LaSm2ErSe6
_cell_length_a 7.3934
_cell_length_b 7.3934
_cell_length_c 19.6738
_cell_angle_alpha 90.00
_cell_angle_beta 90.00
_cell_angle_gamma 120.00
_space_group_name_H-M_alt 'R 3'
_space_group_IT_number 146
_space_group_name_Hall 'R 3'
loop_
_atom_site_label
_atom_site_type_symbol
_atom_site_fract_x
_atom_site_fract_y
_atom_site_fract_z
_atom_site_occupancy
La1 La 0.0000 0.0000 0.0000 1
Sm1 Sm 0.0000 0.0000 0.2931 1
Sm2 Sm 0.0000 0.0000 0.7978 1
Er1 Er 0.0000 0.0000 0.4932 1
Se1 Se 0.0125 0.2993 0.3967 1
Se2 Se 0.0314 0.6780 0.5623 1
```

magnetization	0.000	μB per atom
formation energy (no corrections)	-1873	meV per atom
total DFT energy (no corrections)	-5.856	eV per atom

Entry from the Alexandria database: crystalline Y5Th4Sc2 at its relaxed geometry (PBE).

CIF file:
```
data_Y5Th4Sc2
_cell_length_a 23.7876
_cell_length_b 3.4449
_cell_length_c 8.4908
_cell_angle_alpha 90.00
_cell_angle_beta 95.29
_cell_angle_gamma 90.00
_space_group_name_H-M_alt 'C 1 2/m 1'
_space_group_IT_number 12
loop_
_space_group_symop_operation_xyz
'x,y,z'
'-x,-y,-z'
'-x,y,-z'
'x,-y,z'
'x+1/2,y+1/2,z'
'-x+1/2,-y+1/2,-z'
'-x+1/2,y+1/2,-z'
'x+1/2,-y+1/2,z'
loop_
_atom_site_label
_atom_site_type_symbol
_atom_site_fract_x
_atom_site_fract_y
_atom_site_fract_z
_atom_site_occupancy
Y1 Y 0.0000 0.0000 0.0000 1
Y2 Y 0.1327 0.5000 0.0418 1
Y3 Y 0.1820 0.5000 0.4744 1
Th1 Th 0.0403 0.5000 0.3509 1
Th2 Th 0.2285 0.0000 0.8246 1
Sc1 Sc 0.0868 0.0000 0.6940 1
```

magnetization	0.000	μB per atom
total DFT energy (no corrections)	-6.655	eV per atom

Entry from the Alexandria database: crystalline Tb4Nd2C at its relaxed geometry (PBE).

CIF file:
```
data_Tb4Nd2C
_cell_length_a 3.6135
_cell_length_b 3.6135
_cell_length_c 54.5109
_cell_angle_alpha 90.00
_cell_angle_beta 90.00
_cell_angle_gamma 120.00
_space_group_name_H-M_alt 'R -3 m'
_space_group_IT_number 166
_space_group_name_Hall '-R 3 2"'
loop_
_atom_site_label
_atom_site_type_symbol
_atom_site_fract_x
_atom_site_fract_y
_atom_site_fract_z
_atom_site_occupancy
Tb1 Tb 0.0000 0.0000 0.1401 1
Tb2 Tb 0.0000 0.0000 0.3583 1
Nd1 Nd 0.0000 0.0000 0.2454 1
C1 C 0.0000 0.0000 0.0000 1
```

relative energy among the computed polymorphs	0	meV/atom
magnetization	0.000	μB per atom
total DFT energy (no corrections)	-5.426	eV per atom

Entry from the Alexandria database: crystalline GdDyPdPt at its relaxed geometry (PBE).

CIF file:
```
data_GdDyPdPt
_cell_length_a 7.0356
_cell_length_b 7.0356
_cell_length_c 7.0356
_cell_angle_alpha 90.00
_cell_angle_beta 90.00
_cell_angle_gamma 90.00
_space_group_name_H-M_alt 'F -4 3 m'
_space_group_IT_number 216
_space_group_name_Hall 'F -4 2 3'
loop_
_atom_site_label
_atom_site_type_symbol
_atom_site_fract_x
_atom_site_fract_y
_atom_site_fract_z
_atom_site_occupancy
Gd1 Gd 0.0000 0.0000 0.0000 1
Dy1 Dy 0.0000 0.0000 0.5000 1
Pd1 Pd 0.2500 0.2500 0.7500 1
Pt1 Pt 0.2500 0.2500 0.2500 1
```

magnetization	1.815	μB per atom
total DFT energy (no corrections)	-8.514	eV per atom

Entry from the Alexandria database: crystalline Co2AuCl6 at its relaxed geometry (PBE).

CIF file:
```
data_Co2AuCl6
_cell_length_a 12.3127
_cell_length_b 10.8697
_cell_length_c 7.0118
_cell_angle_alpha 90.00
_cell_angle_beta 91.77
_cell_angle_gamma 90.00
_space_group_name_H-M_alt 'C 1 2/c 1'
_space_group_IT_number 15
loop_
_space_group_symop_operation_xyz
'x,y,z'
'-x,-y,-z'
'-x,y,-z+1/2'
'x,-y,z+1/2'
'x+1/2,y+1/2,z'
'-x+1/2,-y+1/2,-z'
'-x+1/2,y+1/2,-z+1/2'
'x+1/2,-y+1/2,z+1/2'
loop_
_atom_site_label
_atom_site_type_symbol
_atom_site_fract_x
_atom_site_fract_y
_atom_site_fract_z
_atom_site_occupancy
Co1 Co 0.1914 0.0718 0.2920 1
Au1 Au 0.0000 0.4026 0.2500 1
Cl1 Cl 0.1265 0.0726 0.5909 1
Cl2 Cl 0.1280 0.4259 0.6834 1
Cl3 Cl 0.1374 0.2498 0.1600 1
```

magnetization	0.623	μB per atom
formation energy (no corrections)	-419	meV per atom
total DFT energy (no corrections)	-3.594	eV per atom

Entry from the Alexandria database: crystalline PmGeS3 at its relaxed geometry (PBE).

CIF file:
```
data_PmGeS3
_cell_length_a 6.7299
_cell_length_b 7.4641
_cell_length_c 11.1390
_cell_angle_alpha 90.00
_cell_angle_beta 123.97
_cell_angle_gamma 90.00
_space_group_name_H-M_alt 'P 1 21/c 1'
_space_group_IT_number 14
loop_
_space_group_symop_operation_xyz
'x,y,z'
'-x,-y,-z'
'-x,y+1/2,-z+1/2'
'x,-y+1/2,z+1/2'
loop_
_atom_site_label
_atom_site_type_symbol
_atom_site_fract_x
_atom_site_fract_y
_atom_site_fract_z
_atom_site_occupancy
Pm1 Pm 0.2120 0.1262 0.2526 1
Ge1 Ge 0.1543 0.6054 0.0716 1
S1 S 0.0725 0.1741 0.9280 1
S2 S 0.2874 0.6902 0.9370 1
S3 S 0.4294 0.0260 0.7771 1
```

relative energy among the computed polymorphs	0	meV/atom
magnetization	0.000	μB per atom
formation energy (no corrections)	-1149	meV per atom
total DFT energy (no corrections)	-5.499	eV per atom

Entry from the Alexandria database: crystalline CeNbAs2 at its relaxed geometry (PBE).

CIF file:
```
data_CeNbAs2
_cell_length_a 4.0367
_cell_length_b 4.0367
_cell_length_c 24.9596
_cell_angle_alpha 90.00
_cell_angle_beta 90.00
_cell_angle_gamma 120.00
_space_group_name_H-M_alt 'R -3 m'
_space_group_IT_number 166
_space_group_name_Hall '-R 3 2"'
loop_
_atom_site_label
_atom_site_type_symbol
_atom_site_fract_x
_atom_site_fract_y
_atom_site_fract_z
_atom_site_occupancy
Ce1 Ce 0.0000 0.0000 0.0000 1
Nb1 Nb 0.0000 0.0000 0.5000 1
As1 As 0.0000 0.0000 0.4010 1
```

relative energy among the computed polymorphs	1074	meV/atom
magnetization	0.364	μB per atom
total DFT energy (no corrections)	-6.127	eV per atom